# Na2B3C

An optimized crystal structure of Na2B3C (PBE-GGA, Alexandria via LeMat-Bulk).

Structure (CIF):
```
data_Na2B3C
_cell_length_a 5.823
_cell_length_b 8.587
_cell_length_c 5.073
_cell_angle_alpha 90.00
_cell_angle_beta 90.00
_cell_angle_gamma 90.00
_space_group_name_H-M_alt 'P m m 2'
_space_group_IT_number 25
loop_
_space_group_symop_operation_xyz
'x,y,z'
'-x,-y,z'
'-x,y,z'
'x,-y,z'
loop_
_atom_site_label
_atom_site_type_symbol
_atom_site_fract_x
_atom_site_fract_y
_atom_site_fract_z
_atom_site_occupancy
Na1 Na 0.000 0.248 0.000 1
Na2 Na 0.250 0.247 0.501 1
Na3 Na 0.500 0.250 0.000 1
B1 B 0.000 0.000 0.339 1
B2 B 0.000 0.000 0.682 1
B3 B 0.000 0.500 0.338 1
B4 B 0.000 0.500 0.677 1
B5 B 0.251 0.500 0.160 1
B6 B 0.262 0.000 0.158 1
B7 B 0.264 0.500 0.822 1
B8 B 0.500 0.000 0.664 1
B9 B 0.500 0.500 0.356 1
C1 C 0.255 0.000 0.836 1
C2 C 0.500 0.000 0.333 1
C3 C 0.500 0.500 0.666 1
```

size of the total moment: 0.000 μB per cell
formation energy: 183.7 meV/atom
N(E_F): 6.01 states/eV/cell
total energy: -123.167 eV per cell
theoretical density: 2.37 g cm⁻³